No. 1
CaAlZn2Cu4 after structural relaxation, computed with GGA-PBE.

abc: 4.2169 4.2169 24.9587
angles: 90.00 90.00 120.00
Closest atoms and distances in Å follow each position.
Space group R-3m (No. 166, hexagonal axes)
Inequivalent atoms, fractional coordinates:
1 Ca 0.0000 0.0000 0.0000  8 Cu 3.02-3.19, 6 Zn 3.36
2 Al 0.0000 0.0000 0.5000  8 Cu 2.37-2.62
3 Zn 0.0000 0.0000 0.2408  6 Cu 2.49-2.59
4 Cu 0.0000 0.0000 0.1279  4 Zn 2.59-2.82, 3 Al 2.62, 3 Cu 2.81
5 Cu 0.0000 0.0000 0.4049  1 Al 2.37, 3 Zn 2.49

## Properties
- Formation energy: -0.11 eV per atom
- Raw total energy: -76.77 eV per cell
- Total moment: 0.0 μB per formula unit

=====

No. 2
Ca2AlZn3Cu12 after structural relaxation, computed with GGA-PBE.

abc: 8.7262 8.7262 12.3491
angles: 90.00 90.00 120.00
Closest atoms and distances in Å follow each position.
Space group R-3m (No. 166, hexagonal axes)
Inequivalent atoms, fractional coordinates:
1 Ca 0.0000 0.0000 0.2118  9 Cu 2.85-2.91, 3 Zn 2.93
2 Al 0.0000 0.0000 0.5000  6 Cu 2.42
3 Zn 0.0000 0.5000 0.0000  6 Cu 2.56-2.81
4 Cu 0.0193 0.5097 0.2067  5 Cu 2.42-2.58, 1 Al 2.42, 1 Zn 2.56
5 Cu 0.0413 0.5207 0.6011  4 Cu 2.42-2.58

## Properties
- Formation energy: 0.05 eV per atom
- Raw total energy: -179.38 eV per cell
- Total moment: 0.0 μB per formula unit

=====

No. 3
Ca2Al3ZnCu12 after structural relaxation, computed with GGA-PBE.

abc: 6.1161 6.1161 27.8804
angles: 90.00 90.00 120.00
Closest atoms and distances in Å follow each position.
Space group R-3m (No. 166, hexagonal axes)
Inequivalent atoms, fractional coordinates:
1 Ca 0.0000 0.0000 0.1495  12 Cu 3.10-3.42
2 Al 0.0000 0.5000 0.0000  6 Cu 2.42-2.67
3 Zn 0.0000 0.0000 0.5000  6 Cu 2.48
4 Cu 0.0546 0.5273 0.0952  4 Cu 2.44-2.56, 1 Zn 2.48, 1 Al 2.67
5 Cu 0.0696 0.5348 0.6163  4 Cu 2.42-2.44, 2 Al 2.42

## Properties
- Formation energy: 0.09 eV per atom
- Raw total energy: -192.01 eV per cell
- Total moment: 0.0 μB per formula unit